Entry from the Alexandria database: a geometry-optimized LiHfSc2S4 structure (PBE).

abc: 6.290 3.651 6.397
angles: 90.00 108.87 90.00
Element x y z (fractional)
Li 0.000 0.000 0.000
Hf 0.000 0.500 0.500
Sc 0.500 0.000 0.500
Sc 0.500 0.500 0.000
S 0.244 0.000 0.753
S 0.246 0.500 0.248
S 0.754 0.500 0.752
S 0.756 0.000 0.247

Summary:
The value obtained for the volume is 139.0 Å³ per cell. The calculation puts the density at 4.8 g/cm3. The value obtained for the formation energy from raw total energies is -1.678 eV per atom.